(1)
Below is a relaxed structure of Y2Al4Cu3Ag, with properties calculated at the PBE level.

Lattice parameters (Å, degrees): 4.1536 4.1536 10.4580 90.00 90.00 90.00
Fractional coordinates of all 10 atoms:
Cu: 0.0000 0.5000 0.1298
Cu: 0.0000 0.0000 0.5000
Cu: 0.5000 0.0000 0.8702
Y: 0.5000 0.0000 0.2423
Y: 0.0000 0.5000 0.7577
Al: 0.5000 0.0000 0.6421
Al: 0.0000 0.5000 0.3579
Al: 0.5000 0.5000 0.0000
Al: 0.0000 0.0000 0.0000
Ag: 0.5000 0.5000 0.5000

Results
E in eV/atom: -4.703
Crystal system: tetragonal

=====

(2)
Below is a relaxed structure of YAlCuAg, with properties calculated at the PBE level.

Lattice parameters (Å, degrees): 4.7234 4.7234 4.7234 60.00 60.00 60.00
Fractional coordinates of all 4 atoms:
Y: 0.7500 0.7500 0.7500
Ag: 0.0000 0.0000 0.0000
Al: 0.2500 0.2500 0.2500
Cu: 0.5000 0.5000 0.5000

Results
E in eV/atom: -4.602
Crystal system: cubic

=====

(3)
Below is a relaxed structure of YAl3CuAg, with properties calculated at the PBE level.

Lattice parameters (Å, degrees): 6.0053 5.9970 6.9499 115.56 90.00 90.00
Fractional coordinates of all 12 atoms:
Cu: 0.2500 0.9232 0.8463
Cu: 0.7500 0.0768 0.1537
Al: 0.0000 0.2837 0.0000
Al: 0.5000 0.7163 0.0000
Al: 0.2500 0.1334 0.2669
Al: 0.7500 0.8666 0.7331
Al: 0.5000 0.2837 0.0000
Al: 0.0000 0.7163 0.0000
Y: 0.7500 0.2933 0.5866
Y: 0.2500 0.7067 0.4134
Ag: 0.2500 0.3440 0.6880
Ag: 0.7500 0.6560 0.3120

Results
E in eV/atom: -4.276
Crystal system: orthorhombic

=====

(4)
Below is a relaxed structure of AlZn4Cu2Ag, with properties calculated at the PBE level.

Lattice parameters (Å, degrees): 3.5326 3.5326 10.4162 90.00 90.00 90.00
Fractional coordinates of all 8 atoms:
Zn: 0.0000 0.5000 0.2047
Zn: 0.5000 0.0000 0.7953
Zn: 0.5000 0.0000 0.2047
Zn: 0.0000 0.5000 0.7953
Al: 0.0000 0.0000 0.5000
Cu: 0.5000 0.5000 0.3853
Cu: 0.5000 0.5000 0.6147
Ag: 0.0000 0.0000 0.0000

Results
E in eV/atom: -2.373
Crystal system: tetragonal

=====

(5)
Below is a relaxed structure of AlZn2Cu5Ag2, with properties calculated at the PBE level.

Lattice parameters (Å, degrees): 3.1819 9.5735 9.5735 90.00 90.00 90.00
Fractional coordinates of all 20 atoms:
Al: 0.0000 0.0000 0.0000
Al: 0.0000 0.5000 0.5000
Zn: 0.0000 0.1382 0.6382
Zn: 0.0000 0.3618 0.1382
Zn: 0.0000 0.6382 0.8618
Zn: 0.0000 0.8618 0.3618
Cu: 0.5000 0.0251 0.8015
Cu: 0.5000 0.0000 0.5000
Cu: 0.5000 0.9749 0.1985
Cu: 0.5000 0.4749 0.3015
Cu: 0.5000 0.1985 0.0251
Cu: 0.5000 0.3015 0.5251
Cu: 0.5000 0.5000 0.0000
Cu: 0.5000 0.8015 0.9749
Cu: 0.5000 0.6985 0.4749
Cu: 0.5000 0.5251 0.6985
Ag: 0.0000 0.1693 0.3307
Ag: 0.0000 0.6693 0.1693
Ag: 0.0000 0.3307 0.8307
Ag: 0.0000 0.8307 0.6693

Results
E in eV/atom: -3.183
Crystal system: tetragonal

=====

(6)
Below is a relaxed structure of AlZn5Cu2Ag2, with properties calculated at the PBE level.

Lattice parameters (Å, degrees): 4.0222 8.8268 8.8268 90.00 90.00 90.00
Fractional coordinates of all 20 atoms:
Zn: 0.5000 0.5778 0.7032
Zn: 0.5000 0.5000 0.0000
Zn: 0.5000 0.2032 0.0778
Zn: 0.5000 0.9222 0.2032
Zn: 0.5000 0.4222 0.2968
Zn: 0.5000 0.0778 0.7968
Zn: 0.5000 0.2968 0.5778
Zn: 0.5000 0.7968 0.9222
Zn: 0.5000 0.0000 0.5000
Zn: 0.5000 0.7032 0.4222
Ag: 0.0000 0.1840 0.3160
Ag: 0.0000 0.8160 0.6840
Ag: 0.0000 0.6840 0.1840
Ag: 0.0000 0.3160 0.8160
Cu: 0.0000 0.3903 0.1097
Cu: 0.0000 0.1097 0.6097
Cu: 0.0000 0.8903 0.3903
Cu: 0.0000 0.6097 0.8903
Al: 0.0000 0.5000 0.5000
Al: 0.0000 0.0000 0.0000

Results
E in eV/atom: -2.353
Crystal system: tetragonal